Entry 1:
# BaCdSn2Rh

A relaxed structure of BaCdSn2Rh (PBE-GGA, Alexandria).

Output
D(E_F) (states/eV/f.u.): 4.078
Energy relative to the elements (eV/atom): -0.36
Raw total energy (eV per atom): -4.001
Total magnetic moment (μB per atom): 0.000
Crystal system: tetragonal

Lattice parameters (Å, degrees): 5.2035 5.2035 5.2825 90.00 90.00 90.00
Closest atoms and distances in Å follow each position.
Element x y z (fractional)
Cd (0.0000, 0.0000, 0.5000)  2 Rh 2.64
Rh (0.0000, 0.0000, 0.0000)  4 Sn 2.60, 2 Cd 2.64
Ba (0.5000, 0.5000, 0.5000)  4 Cd 3.68, 8 Sn 3.71
Sn (0.0000, 0.5000, 0.0000)  2 Rh 2.60
Sn (0.5000, 0.0000, 0.0000)  2 Rh 2.60

***

Entry 2:
# Ba2CdSnRh

A relaxed structure of Ba2CdSnRh (PBE-GGA, Alexandria).

Output
D(E_F) (states/eV/f.u.): 3.670
Energy relative to the elements (eV/atom): -0.35
Raw total energy (eV per atom): -3.577
Total magnetic moment (μB per atom): 0.000
Crystal system: tetragonal

Lattice parameters (Å, degrees): 6.0804 5.1173 6.0804 90.00 90.00 90.00
Closest atoms and distances in Å follow each position.
Element x y z (fractional)
Cd (0.5000, 0.5000, 0.5000)  8 Ba 3.97, 4 Sn 4.30
Rh (0.0000, 0.0000, 0.0000)  2 Sn 2.56
Ba (0.0000, 0.0000, 0.5000)  2 Rh 3.04
Ba (0.5000, 0.0000, 0.0000)  2 Rh 3.04
Sn (0.0000, 0.5000, 0.0000)  2 Rh 2.56

***

Entry 3:
# Ba2CdSn3Rh4

A relaxed structure of Ba2CdSn3Rh4 (PBE-GGA, Alexandria).

Output
D(E_F) (states/eV/f.u.): 5.868
Energy relative to the elements (eV/atom): -0.52
Raw total energy (eV per atom): -5.140
Total magnetic moment (μB per atom): 0.000
Crystal system: tetragonal

Lattice parameters (Å, degrees): 4.6235 4.6235 11.1008 90.00 90.00 90.00
Closest atoms and distances in Å follow each position.
Element x y z (fractional)
Ba (0.5000, 0.0000, 0.2480)  8 Rh 3.52-3.59, 6 Sn 3.56-3.63, 2 Cd 3.63
Ba (0.0000, 0.5000, 0.7520)  8 Rh 3.52-3.59, 6 Sn 3.56-3.63, 2 Cd 3.63
Cd (0.5000, 0.5000, 0.5000)  4 Rh 2.75
Sn (0.0000, 0.0000, 0.5000)  4 Rh 2.75
Sn (0.5000, 0.0000, 0.8782)  5 Rh 2.68-2.71
Sn (0.0000, 0.5000, 0.1218)  5 Rh 2.68-2.71
Rh (0.5000, 0.5000, 0.0000)  4 Sn 2.68
Rh (0.0000, 0.0000, 0.0000)  4 Sn 2.68
Rh (0.5000, 0.0000, 0.6340)  3 Sn 2.71-2.75, 2 Cd 2.75
Rh (0.0000, 0.5000, 0.3660)  3 Sn 2.71-2.75, 2 Cd 2.75

***

Entry 4:
# BaSrCdRh

A relaxed structure of BaSrCdRh (PBE-GGA, Alexandria).

Output
D(E_F) (states/eV/f.u.): 1.610
Energy relative to the elements (eV/atom): -0.13
Raw total energy (eV per atom): -3.098
Energy above the most stable polymorph in this dataset (meV per atom): 117
Total magnetic moment (μB per atom): 0.000
Crystal system: cubic

Lattice parameters (Å, degrees): 5.5338 5.5338 5.5338 60.00 60.00 60.00
Closest atoms and distances in Å follow each position.
Element x y z (fractional)
Sr (0.0000, 0.0000, 0.0000)  4 Cd 3.39, 4 Rh 3.39
Rh (0.2500, 0.2500, 0.2500)  4 Ba 3.39, 4 Sr 3.39
Ba (0.5000, 0.5000, 0.5000)  4 Cd 3.39, 4 Rh 3.39
Cd (0.7500, 0.7500, 0.7500)  4 Ba 3.39, 4 Sr 3.39

***

The highest energy relative to the elements belongs to which entry?
BaSrCdRh

***

Look up the raw total energy of the third one.
-5.140 eV per atom